Density functional theory data (PBE-GGA) for a relaxed SrNi2Ag2 crystal. Values from VASP.

Geometry as Quantum ESPRESSO input:
```
&SYSTEM
  ibrav = 0, nat = 10, ntyp = 3
/
ATOMIC_SPECIES
Sr 87.62 Sr.upf
Ag 107.87 Ag.upf
Ni 58.69 Ni.upf
CELL_PARAMETERS angstrom
7.801 0.000 0.000
0.000 7.801 0.000
0.000 0.000 2.980
ATOMIC_POSITIONS angstrom
Sr 0.000 0.000 0.000
Sr 3.900 3.900 0.000
Ag 2.901 6.801 0.000
Ag 6.801 4.900 0.000
Ag 4.900 0.999 0.000
Ag 0.999 2.901 0.000
Ni 1.294 5.195 1.490
Ni 5.195 6.506 1.490
Ni 6.506 2.606 1.490
Ni 2.606 1.294 1.490
```

Values from the calculation:
- Excess energy over the best structure of this formula in the dataset: 168 meV per atom
- Space group: P4/mbm (127)
- DFT formation energy: 0.23 eV per atom

Density functional theory data (PBE-GGA) for a relaxed SrNi3Ag crystal. Values from VASP.

Geometry as Quantum ESPRESSO input:
```
&SYSTEM
  ibrav = 0, nat = 5, ntyp = 3
/
ATOMIC_SPECIES
Sr 87.62 Sr.upf
Ag 107.87 Ag.upf
Ni 58.69 Ni.upf
CELL_PARAMETERS angstrom
-2.723 -3.872 0.255
3.877 -2.703 0.356
-0.145 0.413 4.720
ATOMIC_POSITIONS angstrom
Sr 0.000 0.000 0.000
Ag 0.505 -3.081 2.665
Ni 1.939 -1.352 0.178
Ni -0.072 0.207 2.360
Ni -1.361 -1.936 0.128
```

Values from the calculation:
- Excess energy over the best structure of this formula in the dataset: 960 meV per atom
- Space group: Pm-3m (221)
- DFT formation energy: 1.69 eV per atom

Density functional theory data (PBE-GGA) for a relaxed SrNi2Ag crystal. Values from VASP.

Geometry as Quantum ESPRESSO input:
```
&SYSTEM
  ibrav = 0, nat = 4, ntyp = 3
/
ATOMIC_SPECIES
Ag 107.87 Ag.upf
Ni 58.69 Ni.upf
Sr 87.62 Sr.upf
CELL_PARAMETERS angstrom
-2.456 -1.362 -3.417
-1.485 -1.988 1.860
-4.438 3.261 1.890
ATOMIC_POSITIONS angstrom
Ag -5.670 0.274 1.104
Ni -5.522 1.083 3.537
Ni -3.362 0.826 2.087
Sr -2.709 -0.363 -0.771
```

Values from the calculation:
- Excess energy over the best structure of this formula in the dataset: 356 meV per atom
- Space group: P2/m (10)
- DFT formation energy: 0.36 eV per atom

Density functional theory data (PBE-GGA) for a relaxed SrNi2Ag2 crystal. Values from VASP.

Geometry as Quantum ESPRESSO input:
```
&SYSTEM
  ibrav = 0, nat = 5, ntyp = 3
/
ATOMIC_SPECIES
Sr 87.62 Sr.upf
Ag 107.87 Ag.upf
Ni 58.69 Ni.upf
CELL_PARAMETERS angstrom
-3.642 2.147 1.165
0.101 -1.958 3.923
1.176 4.060 4.448
ATOMIC_POSITIONS angstrom
Sr 0.000 0.000 0.000
Ag -1.019 1.106 3.030
Ag -1.346 3.142 6.506
Ni -2.118 3.150 4.079
Ni -0.247 1.098 5.457
```

Values from the calculation:
- Excess energy over the best structure of this formula in the dataset: 100 meV per atom
- Space group: I4/mmm (139)
- DFT formation energy: 0.16 eV per atom